[1]
VASP calculation (PBE) on an optimized crystal structure of SnH2Ru.

Calculated values
Excess energy over the best structure of this formula in the dataset: 0.338 eV/atom

Cell lengths 3.9923, 3.9923, 6.4369 Å; angles 71.93, 71.93, 90.00 degrees
Sites, in units of the cell vectors:
H (0.3750, 0.6240, 0.7500)
Ru (0.5000, 0.5000, 0.0000)
H (0.8750, 0.6260, 0.7500)
Sn (0.7500, 0.2500, 0.5000)
H (0.3740, 0.6250, 0.2500)
H (0.3760, 0.1250, 0.2500)
Sn (0.0000, 0.0000, 0.0000)
Ru (0.2500, 0.7500, 0.5000)


[2]
VASP calculation (PBE) on an optimized crystal structure of AsIrPdBr2.

Calculated values
Uncorrected formation energy: 61 kJ per mole of atoms
Excess energy over the best structure of this formula in the dataset: 0.000 eV/atom

Cell lengths 5.2651, 5.2651, 4.6070 Å; angles 90.00, 90.00, 90.00 degrees
Sites, in units of the cell vectors:
Br (0.5000, 0.0000, 0.0000)
Ir (0.0000, 0.0000, 0.0000)
As (0.0000, 0.0000, 0.5000)
Br (0.0000, 0.5000, 0.0000)
Pd (0.5000, 0.5000, 0.5000)


[3]
VASP calculation (PBE) on an optimized crystal structure of Li5Mg8Zn.

Calculated values
ΔE_f: 0.04 eV per atom

Cell lengths 7.3316, 7.3316, 7.3316 Å; angles 111.66, 105.18, 111.66 degrees
Sites, in units of the cell vectors:
Li (0.5000, 0.0000, 0.5000)
Mg (0.4154, 0.5977, 0.1693)
Mg (0.8307, 0.2461, 0.4284)
Li (0.4722, 0.1762, 0.0663)
Li (0.9337, 0.4059, 0.1100)
Mg (0.5716, 0.4023, 0.8177)
Zn (0.2500, 0.5000, 0.7500)
Li (0.7041, 0.5941, 0.5278)
Mg (0.6749, 0.8946, 0.9271)
Mg (0.0729, 0.7478, 0.9674)
Mg (0.2197, 0.2522, 0.3251)
Li (0.8900, 0.8238, 0.2959)
Mg (0.1823, 0.7539, 0.5846)
Mg (0.0326, 0.1054, 0.7803)


| no. | total energy (eV per cell) | N(E_F) (states/eV/atom) |
| --- | --- | --- |
| 1 | -37.808 | 0.26 |
| 2 | -18.888 | 1.67 |
| 3 | -22.976 | 0.61 |